No. 1
# meta-GGA SCAN OsAu2Cl, PBEsol geometry
# * offset from the most stable computed form: 0.096 eV/atom
data_OsAu2Cl
_chemical_formula_sum 'Os1 Au2 Cl1'
_cell_length_a 2.9161
_cell_length_b 2.9161
_cell_length_c 7.9053
_cell_angle_alpha 90.00
_cell_angle_beta 90.00
_cell_angle_gamma 90.00
_symmetry_space_group_name_H-M 'P 4/m m m'
_symmetry_Int_Tables_number 123
_symmetry_space_group_name_Hall '-P 4 2'
loop_
_atom_site_label
_atom_site_fract_x
_atom_site_fract_y
_atom_site_fract_z
Os1 0.0000 0.0000 0.0000
Au1 0.5000 0.5000 0.2330
Cl1 0.0000 0.0000 0.5000


No. 2
# meta-GGA SCAN LiBeMo, PBEsol geometry
# * formation enthalpy at 0 K: 0.252 eV per atom
# * offset from the most stable computed form: 0.000 eV/atom
data_LiBeMo
_chemical_formula_sum 'Li2 Be2 Mo2'
_cell_length_a 2.6195
_cell_length_b 2.6195
_cell_length_c 10.7255
_cell_angle_alpha 90.00
_cell_angle_beta 90.00
_cell_angle_gamma 90.00
_symmetry_space_group_name_H-M 'I 4 m m'
_symmetry_Int_Tables_number 107
_symmetry_space_group_name_Hall 'I 4 -2'
loop_
_atom_site_label
_atom_site_fract_x
_atom_site_fract_y
_atom_site_fract_z
Li1 0.0000 0.0000 0.0000
Be1 0.0000 0.0000 0.6491
Mo1 0.0000 0.0000 0.3023


No. 3
# meta-GGA SCAN CrBPd3, PBEsol geometry
# * formation enthalpy at 0 K: 1.796 eV per atom
data_CrBPd3
_chemical_formula_sum 'Cr1 B1 Pd3'
_cell_length_a 4.4491
_cell_length_b 4.4491
_cell_length_c 4.4491
_cell_angle_alpha 90.00
_cell_angle_beta 90.00
_cell_angle_gamma 90.00
_symmetry_space_group_name_H-M 'P m -3 m'
_symmetry_Int_Tables_number 221
_symmetry_space_group_name_Hall '-P 4 2 3'
loop_
_atom_site_label
_atom_site_fract_x
_atom_site_fract_y
_atom_site_fract_z
Cr1 0.0000 0.0000 0.0000
B1 0.5000 0.5000 0.5000
Pd1 0.0000 0.0000 0.5000


No. 4
# Te3P4

Te3P4 at its PBEsol-relaxed geometry (meta-GGA SCAN, Alexandria).

```
data_Te3P4
_chemical_formula_sum 'Te3 P4'
_cell_length_a 6.7798
_cell_length_b 6.7798
_cell_length_c 4.1227
_cell_angle_alpha 90.00
_cell_angle_beta 90.00
_cell_angle_gamma 120.00
_symmetry_space_group_name_H-M 'P 6/m m m'
_symmetry_Int_Tables_number 191
_symmetry_space_group_name_Hall '-P 6 2'
loop_
_atom_site_label
_atom_site_fract_x
_atom_site_fract_y
_atom_site_fract_z
Te1 0.0000 0.5000 0.0000
P1 0.0000 0.0000 0.2602
P2 0.3333 0.6667 0.5000
```


No. 5
# ZrPO2F

ZrPO2F at its PBEsol-relaxed geometry (meta-GGA SCAN, Alexandria).

```
data_ZrPO2F
_chemical_formula_sum 'Zr1 P1 O2 F1'
_cell_length_a 3.7629
_cell_length_b 3.7629
_cell_length_c 4.2291
_cell_angle_alpha 90.00
_cell_angle_beta 90.00
_cell_angle_gamma 90.00
_symmetry_space_group_name_H-M 'P 4/m m m'
_symmetry_Int_Tables_number 123
_symmetry_space_group_name_Hall '-P 4 2'
loop_
_atom_site_label
_atom_site_fract_x
_atom_site_fract_y
_atom_site_fract_z
Zr1 0.0000 0.0000 0.0000
P1 0.5000 0.5000 0.5000
O1 0.0000 0.5000 0.5000
F1 0.5000 0.5000 0.0000
```


No. 6
# meta-GGA SCAN CrFe2Ir, PBEsol geometry
# * formation enthalpy at 0 K: -0.057 eV per atom
data_CrFe2Ir
_chemical_formula_sum 'Cr2 Fe4 Ir2'
_cell_length_a 5.0573
_cell_length_b 7.0628
_cell_length_c 2.5630
_cell_angle_alpha 90.00
_cell_angle_beta 90.00
_cell_angle_gamma 90.00
_symmetry_space_group_name_H-M 'C m m m'
_symmetry_Int_Tables_number 65
_symmetry_space_group_name_Hall '-C 2 2'
loop_
_atom_site_label
_atom_site_fract_x
_atom_site_fract_y
_atom_site_fract_z
Cr1 0.0000 0.0000 0.0000
Fe1 0.2500 0.2500 0.5000
Ir1 0.0000 0.5000 0.0000


No. 7
# meta-GGA SCAN BaTl2Sb, PBEsol geometry
# * offset from the most stable computed form: 0.167 eV/atom
data_BaTl2Sb
_chemical_formula_sum 'Ba4 Tl8 Sb4'
_cell_length_a 7.9229
_cell_length_b 7.9229
_cell_length_c 7.9229
_cell_angle_alpha 90.00
_cell_angle_beta 90.00
_cell_angle_gamma 90.00
_symmetry_space_group_name_H-M 'F m -3 m'
_symmetry_Int_Tables_number 225
_symmetry_space_group_name_Hall '-F 4 2 3'
loop_
_atom_site_label
_atom_site_fract_x
_atom_site_fract_y
_atom_site_fract_z
Ba1 0.0000 0.0000 0.0000
Tl1 0.2500 0.2500 0.2500
Sb1 0.0000 0.0000 0.5000


No. 8
# meta-GGA SCAN TlAgSe, PBEsol geometry
# * offset from the most stable computed form: 0.008 eV/atom
data_TlAgSe
_chemical_formula_sum 'Tl1 Ag1 Se1'
_cell_length_a 4.4497
_cell_length_b 4.4497
_cell_length_c 4.3616
_cell_angle_alpha 90.00
_cell_angle_beta 90.00
_cell_angle_gamma 120.00
_symmetry_space_group_name_H-M 'P -6 m 2'
_symmetry_Int_Tables_number 187
_symmetry_space_group_name_Hall 'P -6 2'
loop_
_atom_site_label
_atom_site_fract_x
_atom_site_fract_y
_atom_site_fract_z
Tl1 0.0000 0.0000 0.0000
Ag1 0.3333 0.6667 0.5000
Se1 0.6667 0.3333 0.5000


no.,raw total energy (eV/atom),spin magnetization (μB per formula unit)
1,-53.8602,1.18
2,-13.6247,0.00
3,-23.0318,0.00
4,-21.1855,0.00
5,-12.4058,1.84
6,-31.4927,1.60
7,-55.7999,0.00
8,-41.5171,0.00